No. 1
# InHg3Se | Alexandria via LeMat-Bulk | PBE | relaxed
data_InHg3Se
_chemical_formula_sum 'In1 Hg3 Se1'
_cell_length_a 5.535
_cell_length_b 5.535
_cell_length_c 5.535
_cell_angle_alpha 90.00
_cell_angle_beta 90.00
_cell_angle_gamma 90.00
_space_group_name_H-M_alt 'P 1'
_space_group_IT_number 1
_space_group_name_Hall 'P 1'
loop_
_atom_site_label
_atom_site_fract_x
_atom_site_fract_y
_atom_site_fract_z
In1 0.000 0.000 0.000
Hg1 0.000 0.500 0.500
Hg2 0.500 0.000 0.500
Hg3 0.500 0.500 0.000
Se1 0.500 0.500 0.500
# - Total magnetization: 0.00 Bohr magnetons per cell
# - Crystal system: cubic
# - D(E_F): 2.037 states/eV/f.u.
# - Uncorrected energy: -1.160 eV/atom

***

No. 2
# InHg2Se | Alexandria via LeMat-Bulk | PBE | relaxed
data_InHg2Se
_chemical_formula_sum 'In2 Hg4 Se2'
_cell_length_a 6.449
_cell_length_b 11.741
_cell_length_c 3.031
_cell_angle_alpha 90.00
_cell_angle_beta 115.26
_cell_angle_gamma 90.00
_space_group_name_H-M_alt 'P 1'
_space_group_IT_number 1
_space_group_name_Hall 'P 1'
loop_
_atom_site_label
_atom_site_fract_x
_atom_site_fract_y
_atom_site_fract_z
In1 0.000 0.000 0.000
In2 0.500 0.500 0.000
Hg1 0.250 0.250 0.000
Hg2 0.250 0.750 0.000
Hg3 0.750 0.250 0.000
Hg4 0.750 0.750 0.000
Se1 0.000 0.500 0.000
Se2 0.500 0.000 0.000
# - Total magnetization: 0.00 Bohr magnetons per cell
# - Crystal system: monoclinic
# - D(E_F): 1.704 states/eV/f.u.
# - Uncorrected energy: -1.664 eV/atom